1.
A geometry-optimized Pm5Pr3Sn structure. Source: the Alexandria database, functional PBE-GGA.

abc: 5.8945 9.5856 11.3566
angles: 83.25 80.05 78.29
Closest atoms and distances in Å follow each position.
Space group P-1 (No. 2)
Unique sites:
Pm: 0.0316 0.3904 0.3662  1 Sn 3.23, 3 Pr 3.32-3.51, 1 Pm 3.37
Pm: 0.1377 0.6180 0.0331  6 Pm 3.26-3.56, 2 Pr 3.44-3.58, 1 Sn 3.51
Pm: 0.3680 0.2484 0.0801  4 Pm 3.18-3.54, 2 Sn 3.46-3.53
Pm: 0.4136 0.4519 0.7829  6 Pm 3.37-3.75, 1 Sn 3.66, 2 Pr 3.68-3.71
Pm: 0.4618 0.9457 0.2292  1 Pm 3.18, 1 Sn 3.36, 2 Pr 3.47-3.51
Pr: 0.0000 0.0000 0.0000  2 Sn 3.20, 2 Pm 3.58
Pr: 0.0000 0.0000 0.5000  4 Pr 3.35-3.56, 2 Sn 3.40, 2 Pm 3.75
Pr: 0.0012 0.7609 0.3065  2 Pr 3.35-3.52, 5 Pm 3.44-3.68
Pr: 0.4891 0.7127 0.5059  4 Pm 3.32-3.71, 1 Sn 3.38, 2 Pr 3.52-3.56
Sn: 0.1643 0.8350 0.7617  3 Pr 3.20-3.40, 5 Pm 3.23-3.53

Output
The calculation puts the mass density at 6.82 Mg/m³. As for the crystal system: triclinic. As for the total energy: -85.3 eV/cell.

2.
A geometry-optimized Sm12BiIr6 structure. Source: the Alexandria database, functional PBE-GGA.

abc: 10.2084 10.2084 10.2084
angles: 90.00 90.00 90.00
Closest atoms and distances in Å follow each position.
Space group Im-3 (No. 204)
Unique sites:
Sm: 0.0000 0.3046 0.1929  1 Ir 2.73
Bi: 0.0000 0.0000 0.0000  12 Sm 3.68
Ir: 0.0000 0.1249 0.5000  1 Ir 2.55, 2 Sm 2.73

Output
The calculation puts the mass density at 9.89 Mg/m³. As for the crystal system: cubic. As for the total energy: -249.0 eV/cell.

3.
A geometry-optimized NaPtPb2 structure. Source: the Alexandria database, functional PBE-GGA.

abc: 4.6557 4.6557 17.0589
angles: 90.00 90.00 120.00
Closest atoms and distances in Å follow each position.
Space group R3m (No. 160, hexagonal axes)
Unique sites:
Na: 0.0000 0.0000 0.0000  1 Pt 3.03, 6 Pb 3.19-3.30
Pt: 0.0000 0.0000 0.8221  6 Pb 2.85-2.91, 1 Na 3.03
Pb: 0.0000 0.0000 0.2211  3 Pt 2.91
Pb: 0.0000 0.0000 0.4338  3 Pt 2.85, 3 Na 3.19

Output
The calculation puts the mass density at 9.84 Mg/m³. As for the crystal system: trigonal. As for the total energy: -47.1 eV/cell.

4.
A geometry-optimized TiNi2Mo structure. Source: the Alexandria database, functional PBE-GGA.

abc: 3.7381 3.7381 3.7854
angles: 90.00 90.00 90.00
Closest atoms and distances in Å follow each position.
Space group P4/mmm (No. 123)
Unique sites:
Ti: 0.0000 0.0000 0.0000  4 Mo 2.64, 8 Ni 2.66
Ni: 0.0000 0.5000 0.5000  4 Ni 2.64, 4 Mo 2.66, 4 Ti 2.66
Mo: 0.5000 0.5000 0.0000  4 Ti 2.64, 8 Ni 2.66

Output
The calculation puts the mass density at 8.20 Mg/m³. As for the crystal system: tetragonal. As for the total energy: -31.0 eV/cell.

5.
A geometry-optimized Li6GePd8 structure. Source: the Alexandria database, functional PBE-GGA.

abc: 7.0559 7.0559 15.4788
angles: 90.00 90.00 120.00
Closest atoms and distances in Å follow each position.
Space group R-3 (No. 148, hexagonal axes)
Unique sites:
Li: 0.0032 0.2390 0.2139  1 Li 2.55, 6 Pd 2.56-2.84, 1 Ge 2.83
Ge: 0.0000 0.0000 0.5000  6 Pd 2.51
Pd: 0.0000 0.0000 0.0860  6 Li 2.59-2.82, 4 Pd 2.66
Pd: 0.0477 0.7930 0.6221  1 Ge 2.51, 3 Li 2.56-2.72, 1 Pd 2.66

Output
The calculation puts the relative energy among the computed polymorphs at 0 kJ/mol of formula units. The calculation puts the mass density at 7.21 Mg/m³. As for the crystal system: trigonal. As for the total energy: -189.7 eV/cell.

6.
A geometry-optimized Tm2ScCo2 structure. Source: the Alexandria database, functional PBE-GGA.

abc: 11.4858 3.3588 5.3374
angles: 90.00 104.17 90.00
Closest atoms and distances in Å follow each position.
Space group C2/m (No. 12)
Unique sites:
Tm: 0.1434 0.0000 0.0794  4 Co 2.73-2.74
Sc: 0.0000 0.5000 0.5000  4 Co 2.77
Co: 0.1981 0.0000 0.6075  2 Co 2.50, 4 Tm 2.73-2.74, 2 Sc 2.77

Output
The calculation puts the relative energy among the computed polymorphs at 87 kJ/mol of formula units. The calculation puts the mass density at 8.33 Mg/m³. As for the crystal system: monoclinic. As for the total energy: -59.8 eV/cell.

7.
A geometry-optimized PHS structure. Source: the Alexandria database, functional PBE-GGA.

abc: 5.5719 3.3675 5.8829
angles: 90.00 112.52 90.00
Closest atoms and distances in Å follow each position.
Space group Cm (No. 8)
Unique sites:
P: 0.0000 0.0000 0.0000  1 S 2.04
H: 0.3926 0.0000 0.4348  1 S 1.39
S: 0.1263 0.0000 0.3743  1 H 1.39

Output
The calculation puts the relative energy among the computed polymorphs at 96 kJ/mol of formula units. The calculation puts the mass density at 2.09 Mg/m³. As for the crystal system: monoclinic. As for the total energy: -24.0 eV/cell.

8.
A geometry-optimized BAuNO2 structure. Source: the Alexandria database, functional PBE-GGA.

abc: 3.0184 3.0184 7.2355
angles: 90.00 90.00 90.00
Closest atoms and distances in Å follow each position.
Space group P4/mmm (No. 123)
Unique sites:
B: 0.0000 0.0000 0.0000  4 O 1.51
Au: 0.5000 0.5000 0.5000  4 N 2.13
N: 0.0000 0.0000 0.5000  4 Au 2.13
O: 0.0000 0.5000 0.0000  2 B 1.51

Output
The calculation puts the mass density at 6.39 Mg/m³. The calculation puts the raw formation energy at 0.23 eV/atom. As for the crystal system: tetragonal. As for the total energy: -27.1 eV/cell.

9.
A geometry-optimized SrCu3O structure. Source: the Alexandria database, functional PBE-GGA.

abc: 5.3870 5.3870 5.3870
angles: 90.00 90.00 90.00
Closest atoms and distances in Å follow each position.
Space group Pm-3m (No. 221)
Unique sites:
Sr: 0.0000 0.0000 0.0000  6 Cu 2.69
Cu: 0.0000 0.0000 0.5000  2 Sr 2.69
O: 0.5000 0.5000 0.5000  12 Cu 3.81

Output
The calculation puts the relative energy among the computed polymorphs at 880 kJ/mol of formula units. The calculation puts the mass density at 3.13 Mg/m³. The calculation puts the raw formation energy at 1.89 eV/atom. As for the crystal system: cubic. As for the total energy: -9.5 eV/cell.

10.
A geometry-optimized Tl12Pb3F5 structure. Source: the Alexandria database, functional PBE-GGA.

abc: 17.1717 17.1717 17.1717
angles: 90.00 90.00 90.00
Closest atoms and distances in Å follow each position.
Space group Ia-3d (No. 230)
Unique sites:
Tl: 0.0314 0.0554 0.6464  2 F 2.58-2.74
Pb: 0.0000 0.2500 0.1250  8 Tl 3.36-3.41
F: 0.0000 0.0000 0.0000  6 Tl 2.74
F: 0.0000 0.2500 0.3750  4 Tl 2.58

Output
The calculation puts the mass density at 8.31 Mg/m³. The calculation puts the raw formation energy at -0.69 eV/atom. As for the crystal system: cubic. As for the total energy: -501.8 eV/cell.

11.
A geometry-optimized Gd2TmSc structure. Source: the Alexandria database, functional PBE-GGA.

abc: 3.5184 3.5184 9.5662
angles: 90.00 90.00 90.00
Closest atoms and distances in Å follow each position.
Space group P4/mmm (No. 123)
Unique sites:
Gd: 0.0000 0.0000 0.2402  4 Sc 3.39, 4 Tm 3.52, 4 Gd 3.52
Tm: 0.5000 0.5000 0.5000  8 Gd 3.52, 4 Tm 3.52
Sc: 0.5000 0.5000 0.0000  8 Gd 3.39, 4 Sc 3.52

Output
The calculation puts the relative energy among the computed polymorphs at 0 kJ/mol of formula units. The calculation puts the mass density at 7.41 Mg/m³. As for the crystal system: tetragonal. As for the total energy: -38.8 eV/cell.

12.
A geometry-optimized LaFeTe2 structure. Source: the Alexandria database, functional PBE-GGA.

abc: 4.0740 3.9661 7.1425
angles: 90.00 102.04 90.00
Closest atoms and distances in Å follow each position.
Space group P2/m (No. 10)
Unique sites:
La: 0.0000 0.0000 0.0000  8 Te 3.34-3.40, 2 Fe 3.72
Fe: 0.5000 0.0000 0.5000  4 Te 2.69
Te: 0.4169 0.5000 0.7413  2 Fe 2.69

Output
The calculation puts the mass density at 6.62 Mg/m³. The calculation puts the raw formation energy at -0.54 eV/atom. As for the crystal system: monoclinic. As for the total energy: -21.8 eV/cell.